Material: SrMg3Mo
Method: DFT, GGA-PBE
State: relaxed Values from VASP.

Structure (Quantum ESPRESSO input):
```
&SYSTEM
  ibrav = 0, nat = 5, ntyp = 3
/
ATOMIC_SPECIES
Mo 95.94 Mo.upf
Mg 24.30 Mg.upf
Sr 87.62 Sr.upf
CELL_PARAMETERS angstrom
-3.8176 -0.5001 3.6044
-2.0029 -4.0727 -2.6865
3.0381 -3.3135 2.7580
ATOMIC_POSITIONS crystal
Mo 0.0000 0.0000 0.0000
Mg 0.0000 0.5000 0.0000
Mg 0.5000 0.0000 0.0000
Mg 0.0000 0.0000 0.5000
Sr 0.5000 0.5000 0.5000
```

The value obtained for the energy is -14.360 eV per cell. The energy relative to the elements is 587 meV per atom. The magnetization comes out at 1.7 μB per cell.

---

Material: MgSI
Method: DFT, GGA-PBE
State: relaxed Values from VASP.

Structure (Quantum ESPRESSO input):
```
&SYSTEM
  ibrav = 0, nat = 12, ntyp = 3
/
ATOMIC_SPECIES
I 126.90 I.upf
S 32.06 S.upf
Mg 24.30 Mg.upf
CELL_PARAMETERS angstrom
8.1296 0.0000 0.0000
0.0000 6.5659 0.0747
0.0000 -0.6397 7.3625
ATOMIC_POSITIONS crystal
I 0.6117 0.1745 0.4779
I 0.3883 0.8255 0.5221
I 0.1117 0.8255 0.0221
I 0.8883 0.1745 0.9779
S 0.8102 0.5580 0.4151
S 0.6898 0.5580 0.9151
S 0.1898 0.4420 0.5849
S 0.3102 0.4420 0.0849
Mg 0.9309 0.5615 0.7219
Mg 0.0691 0.4385 0.2781
Mg 0.5691 0.5615 0.2219
Mg 0.4309 0.4385 0.7781
```

The value obtained for the energy is -37.807 eV per cell. The formation energy (no corrections) is -0.73 eV/atom. The magnetization comes out at 0.0 μB per cell.

---

Material: Zn2Cu2Ni5
Method: DFT, GGA-PBE
State: relaxed Values from VASP.

Structure (Quantum ESPRESSO input):
```
&SYSTEM
  ibrav = 0, nat = 9, ntyp = 3
/
ATOMIC_SPECIES
Ni 58.69 Ni.upf
Zn 65.41 Zn.upf
Cu 63.55 Cu.upf
CELL_PARAMETERS angstrom
4.3373 0.4189 -0.6856
-1.1774 5.1653 -4.1038
-1.0406 -2.0238 6.2875
ATOMIC_POSITIONS crystal
Ni 0.5539 0.1096 0.7746
Ni 0.1128 0.2159 0.5512
Ni 0.4461 0.8904 0.2254
Ni 0.0000 0.0000 0.0000
Ni 0.8872 0.7841 0.4488
Zn 0.6685 0.3317 0.3311
Zn 0.3315 0.6683 0.6689
Cu 0.7802 0.5560 0.8930
Cu 0.2198 0.4440 0.1070
```

The value obtained for the energy is -40.246 eV per cell. The energy relative to the elements is -67 meV per atom. The magnetization comes out at 0.4 μB per cell.